Rb2VBrCl6 | PBE | optimized geometry

a = 6.774 Å, b = 6.778 Å, c = 8.434 Å
α = 70.86°, β = 70.89°, γ = 61.82°
Fractional positions:
1 Rb 0.000 0.000 0.000
2 Rb 0.427 0.426 0.433
3 V 0.713 0.714 0.717
4 Br 0.456 0.971 0.217
5 Cl 0.028 0.554 0.841
6 Cl 0.398 0.849 0.614
7 Cl 0.541 0.530 0.970
8 Cl 0.576 0.030 0.819
9 Cl 0.875 0.399 0.593
10 Cl 0.897 0.887 0.464

## Properties
D(E_F), states/eV/f.u.: 1.5
Formation energy from raw total energies, eV per atom: -1.316
Mass density, g/cm³: 2.7
Symmetry: P1 (1)
Energy above the lowest structure with this stoichiometry, eV/atom: 0.0000
E, eV/atom: -3.70

Nb2Al5Pt2Rh | PBE | optimized geometry

a = 10.048 Å, b = 10.048 Å, c = 3.195 Å
α = 90.00°, β = 90.00°, γ = 90.00°
Fractional positions:
1 Nb 0.177 0.323 0.000
2 Nb 0.323 0.823 0.000
3 Nb 0.677 0.177 0.000
4 Nb 0.823 0.677 0.000
5 Al 0.000 0.500 0.500
6 Al 0.040 0.803 0.500
7 Al 0.197 0.040 0.500
8 Al 0.303 0.540 0.500
9 Al 0.460 0.303 0.500
10 Al 0.500 0.000 0.500
11 Al 0.540 0.697 0.500
12 Al 0.697 0.460 0.500
13 Al 0.803 0.960 0.500
14 Al 0.960 0.197 0.500
15 Pt 0.132 0.632 0.000
16 Pt 0.368 0.132 0.000
17 Pt 0.632 0.868 0.000
18 Pt 0.868 0.368 0.000
19 Rh 0.000 0.000 0.000
20 Rh 0.500 0.500 0.000

## Properties
D(E_F), states/eV/f.u.: 6.0
Mass density, g/cm³: 8.4
Symmetry: P4/mbm (127)
E, eV/atom: -6.42
Calculated formation energy, eV per atom: -0.595

LaDyTh | PBE | optimized geometry

a = 3.629 Å, b = 3.629 Å, c = 26.349 Å
α = 90.00°, β = 90.00°, γ = 120.00°
Fractional positions:
1 La 0.000 0.000 0.000
2 La 0.333 0.667 0.667
3 La 0.667 0.333 0.333
4 Dy 0.000 0.000 0.548
5 Dy 0.333 0.667 0.215
6 Dy 0.667 0.333 0.881
7 Th 0.000 0.000 0.776
8 Th 0.333 0.667 0.443
9 Th 0.667 0.333 0.109

## Properties
D(E_F), states/eV/f.u.: 4.0
Mass density, g/cm³: 8.8
Symmetry: R3m (160)
Energy above the lowest structure with this stoichiometry, eV/atom: 0.0000
E, eV/atom: -5.64
Calculated formation energy, eV per atom: 0.009

BiW3S | PBE | optimized geometry

a = 5.051 Å, b = 5.051 Å, c = 5.051 Å
α = 90.00°, β = 90.00°, γ = 90.00°
Fractional positions:
1 Bi 0.000 0.000 0.000
2 W 0.000 0.000 0.500
3 W 0.000 0.500 0.000
4 W 0.500 0.000 0.000
5 S 0.500 0.500 0.500

## Properties
D(E_F), states/eV/f.u.: 5.2
Formation energy from raw total energies, eV per atom: 3.424
Mass density, g/cm³: 10.2
Symmetry: Pm-3m (221)
Energy above the lowest structure with this stoichiometry, eV/atom: 2.3462
E, eV/atom: -5.95

Ca5DyTl6 | PBE | optimized geometry

a = 9.433 Å, b = 9.433 Å, c = 5.453 Å
α = 106.42°, β = 106.42°, γ = 48.95°
Fractional positions:
1 Ca 0.000 0.000 0.000
2 Ca 0.166 0.166 0.665
3 Ca 0.329 0.329 0.329
4 Ca 0.671 0.671 0.671
5 Ca 0.834 0.834 0.335
6 Dy 0.500 0.500 0.000
7 Tl 0.090 0.581 0.836
8 Tl 0.257 0.743 0.500
9 Tl 0.419 0.910 0.164
10 Tl 0.581 0.090 0.836
11 Tl 0.743 0.257 0.500
12 Tl 0.910 0.419 0.164

## Properties
D(E_F), states/eV/f.u.: 7.5
Mass density, g/cm³: 7.6
Symmetry: C2/m (12)
E, eV/atom: -2.83
Calculated formation energy, eV per atom: -0.425

CaTiCoGe2 | PBE | optimized geometry

a = 4.882 Å, b = 4.882 Å, c = 5.233 Å
α = 90.00°, β = 90.00°, γ = 90.00°
Fractional positions:
1 Ca 0.000 0.000 0.000
2 Ti 0.000 0.000 0.500
3 Co 0.500 0.500 0.000
4 Ge 0.000 0.500 0.500
5 Ge 0.500 0.000 0.500

## Properties
D(E_F), states/eV/f.u.: 7.7
Mass density, g/cm³: 3.9
Symmetry: P4/mmm (123)
E, eV/atom: -4.37
Calculated formation energy, eV per atom: 0.882

KNaTlS2 | PBE | optimized geometry

a = 7.756 Å, b = 6.502 Å, c = 6.300 Å
α = 90.00°, β = 113.86°, γ = 90.00°
Fractional positions:
1 K 0.000 0.249 0.250
2 K 0.000 0.751 0.750
3 Na 0.500 0.500 0.250
4 Na 0.500 0.500 0.750
5 Tl 0.500 0.000 0.000
6 Tl 0.500 0.000 0.500
7 S 0.232 0.276 0.867
8 S 0.232 0.724 0.367
9 S 0.768 0.276 0.633
10 S 0.768 0.724 0.133

## Properties
D(E_F), states/eV/f.u.: 1.2
Formation energy from raw total energies, eV per atom: -0.551
Mass density, g/cm³: 3.8
Symmetry: P2/c (13)
E, eV/atom: -3.16

ScAlCr2S6 | PBE | optimized geometry

a = 6.600 Å, b = 6.600 Å, c = 6.600 Å
α = 55.41°, β = 55.41°, γ = 55.41°
Fractional positions:
1 Sc 0.000 0.000 0.000
2 Al 0.499 0.499 0.499
3 Cr 0.308 0.308 0.308
4 Cr 0.810 0.810 0.810
5 S 0.095 0.698 0.425
6 S 0.216 0.580 0.905
7 S 0.425 0.095 0.698
8 S 0.580 0.905 0.216
9 S 0.698 0.425 0.095
10 S 0.905 0.216 0.580

## Properties
Formation energy from raw total energies, eV per atom: -1.037
Mass density, g/cm³: 3.4
Symmetry: R3 (146)
E, eV/atom: -6.45

BaSiPb2 | PBE | optimized geometry

a = 7.965 Å, b = 7.965 Å, c = 7.965 Å
α = 90.00°, β = 90.00°, γ = 90.00°
Fractional positions:
1 Ba 0.000 0.000 0.000
2 Ba 0.000 0.500 0.500
3 Ba 0.500 0.000 0.500
4 Ba 0.500 0.500 0.000
5 Si 0.250 0.250 0.750
6 Si 0.250 0.750 0.250
7 Si 0.750 0.250 0.250
8 Si 0.750 0.750 0.750
9 Pb 0.000 0.000 0.500
10 Pb 0.000 0.500 0.000
11 Pb 0.250 0.250 0.250
12 Pb 0.250 0.750 0.750
13 Pb 0.500 0.000 0.000
14 Pb 0.500 0.500 0.500
15 Pb 0.750 0.250 0.750
16 Pb 0.750 0.750 0.250

## Properties
D(E_F), states/eV/f.u.: 2.5
Formation energy from raw total energies, eV per atom: 0.050
Mass density, g/cm³: 7.6
Symmetry: F-43m (216)
E, eV/atom: -3.64

SrLaGa | PBE | optimized geometry

a = 3.698 Å, b = 7.290 Å, c = 7.697 Å
α = 90.00°, β = 90.02°, γ = 90.00°
Fractional positions:
1 Sr 0.001 0.000 0.060
2 Sr 0.999 0.500 0.940
3 La 0.000 0.383 0.455
4 La 0.000 0.883 0.545
5 Ga 0.500 0.178 0.736
6 Ga 0.500 0.678 0.264

## Properties
D(E_F), states/eV/f.u.: 3.9
Mass density, g/cm³: 4.7
Symmetry: P2_1 (4)
Energy above the lowest structure with this stoichiometry, eV/atom: 0.1396
E, eV/atom: -3.44
Calculated formation energy, eV per atom: -0.230

Be2AsCl | PBE | optimized geometry

a = 3.019 Å, b = 3.178 Å, c = 6.414 Å
α = 90.00°, β = 90.00°, γ = 90.00°
Fractional positions:
1 Be 0.000 0.000 0.190
2 Be 0.000 0.000 0.810
3 As 0.500 0.500 0.000
4 Cl 0.500 0.500 0.500

## Properties
D(E_F), states/eV/f.u.: 0.7
Formation energy from raw total energies, eV per atom: 0.435
Mass density, g/cm³: 3.5
Symmetry: Pmmm (47)
Energy above the lowest structure with this stoichiometry, eV/atom: 0.8498
E, eV/atom: -3.05

NaTiTe2Rh | PBE | optimized geometry

a = 5.205 Å, b = 5.205 Å, c = 5.234 Å
α = 90.00°, β = 90.00°, γ = 90.00°
Fractional positions:
1 Na 0.000 0.000 0.000
2 Ti 0.000 0.000 0.500
3 Te 0.000 0.500 0.500
4 Te 0.500 0.000 0.500
5 Rh 0.500 0.500 0.000

## Properties
D(E_F), states/eV/f.u.: 6.1
Formation energy from raw total energies, eV per atom: 0.659
Mass density, g/cm³: 5.0
Symmetry: P4/mmm (123)
E, eV/atom: -3.91

Sr2YNi | PBE | optimized geometry

a = 4.780 Å, b = 4.865 Å, c = 5.374 Å
α = 90.00°, β = 90.00°, γ = 90.00°
Fractional positions:
1 Sr 0.000 0.000 0.000
2 Sr 0.500 0.500 0.000
3 Y 0.000 0.500 0.500
4 Ni 0.500 0.000 0.500

## Properties
D(E_F), states/eV/f.u.: 5.1
Mass density, g/cm³: 4.3
Symmetry: Pmmm (47)
Energy above the lowest structure with this stoichiometry, eV/atom: 0.4362
E, eV/atom: -3.48
Calculated formation energy, eV per atom: 0.420

Sr2NbPb | PBE | optimized geometry

a = 9.056 Å, b = 9.056 Å, c = 6.417 Å
α = 90.00°, β = 90.00°, γ = 90.00°
Fractional positions:
1 Sr 0.244 0.250 0.125
2 Sr 0.250 0.744 0.375
3 Sr 0.250 0.756 0.875
4 Sr 0.256 0.250 0.625
5 Sr 0.744 0.750 0.625
6 Sr 0.750 0.244 0.875
7 Sr 0.750 0.256 0.375
8 Sr 0.756 0.750 0.125
9 Nb 0.000 0.000 0.000
10 Nb 0.000 0.500 0.250
11 Nb 0.500 0.000 0.750
12 Nb 0.500 0.500 0.500
13 Pb 0.000 0.000 0.500
14 Pb 0.000 0.500 0.750
15 Pb 0.500 0.000 0.250
16 Pb 0.500 0.500 0.000

## Properties
D(E_F), states/eV/f.u.: 3.5
Mass density, g/cm³: 6.0
Symmetry: I-42d (122)
E, eV/atom: -3.58
Calculated formation energy, eV per atom: 0.701

YMoN3 | PBE | optimized geometry

a = 4.303 Å, b = 5.688 Å, c = 6.085 Å
α = 95.05°, β = 110.06°, γ = 111.98°
Fractional positions:
1 Y 0.000 0.000 0.000
2 Y 0.499 0.655 0.272
3 Mo 0.123 0.604 0.664
4 Mo 0.331 0.201 0.593
5 N 0.120 0.810 0.353
6 N 0.190 0.381 0.871
7 N 0.408 0.982 0.829
8 N 0.658 0.609 0.675
9 N 0.665 0.284 0.377
10 N 0.826 0.123 0.347

## Properties
D(E_F), states/eV/f.u.: 0.0
Formation energy from raw total energies, eV per atom: -0.619
Mass density, g/cm³: 6.0
Symmetry: P1 (1)
E, eV/atom: -9.07

Ac2SiNi | PBE | optimized geometry

a = 4.496 Å, b = 4.496 Å, c = 26.520 Å
α = 90.00°, β = 90.00°, γ = 120.00°
Fractional positions:
1 Ac 0.000 0.000 0.102
2 Ac 0.000 0.000 0.898
3 Ac 0.333 0.667 0.565
4 Ac 0.333 0.667 0.768
5 Ac 0.667 0.333 0.232
6 Ac 0.667 0.333 0.435
7 Si 0.000 0.000 0.500
8 Si 0.333 0.667 0.167
9 Si 0.667 0.333 0.833
10 Ni 0.000 0.000 0.000
11 Ni 0.333 0.667 0.667
12 Ni 0.667 0.333 0.333

## Properties
D(E_F), states/eV/f.u.: 2.7
Formation energy from raw total energies, eV per atom: 0.351
Mass density, g/cm³: 5.8
Symmetry: R-3m (166)
E, eV/atom: -4.50

CaAcHgP | PBE | optimized geometry

a = 7.607 Å, b = 7.607 Å, c = 7.607 Å
α = 90.00°, β = 90.00°, γ = 90.00°
Fractional positions:
1 Ca 0.000 0.000 0.000
2 Ca 0.000 0.500 0.500
3 Ca 0.500 0.000 0.500
4 Ca 0.500 0.500 0.000
5 Ac 0.000 0.000 0.500
6 Ac 0.000 0.500 0.000
7 Ac 0.500 0.000 0.000
8 Ac 0.500 0.500 0.500
9 Hg 0.250 0.250 0.750
10 Hg 0.250 0.750 0.250
11 Hg 0.750 0.250 0.250
12 Hg 0.750 0.750 0.750
13 P 0.250 0.250 0.250
14 P 0.250 0.750 0.750
15 P 0.750 0.250 0.750
16 P 0.750 0.750 0.250

## Properties
D(E_F), states/eV/f.u.: 4.8
Mass density, g/cm³: 7.5
Symmetry: F-43m (216)
E, eV/atom: -3.57
Calculated formation energy, eV per atom: -0.616

RbMg15 | PBE | optimized geometry

a = 6.581 Å, b = 6.581 Å, c = 10.777 Å
α = 90.00°, β = 90.00°, γ = 120.00°
Fractional positions:
1 Rb 0.000 0.000 0.000
2 Mg 0.000 0.000 0.500
3 Mg 0.010 0.505 0.000
4 Mg 0.171 0.343 0.264
5 Mg 0.171 0.343 0.736
6 Mg 0.171 0.829 0.264
7 Mg 0.171 0.829 0.736
8 Mg 0.495 0.505 0.000
9 Mg 0.495 0.990 0.000
10 Mg 0.502 0.005 0.500
11 Mg 0.502 0.498 0.500
12 Mg 0.657 0.829 0.264
13 Mg 0.657 0.829 0.736
14 Mg 0.667 0.333 0.241
15 Mg 0.667 0.333 0.759
16 Mg 0.995 0.498 0.500

## Properties
D(E_F), states/eV/f.u.: 7.3
Mass density, g/cm³: 1.8
Symmetry: P-6m2 (187)
E, eV/atom: -1.42
Calculated formation energy, eV per atom: 0.131

Nb3TeCl | PBE | optimized geometry

a = 5.119 Å, b = 5.119 Å, c = 5.119 Å
α = 90.00°, β = 90.00°, γ = 90.00°
Fractional positions:
1 Nb 0.000 0.000 0.500
2 Nb 0.000 0.500 0.000
3 Nb 0.500 0.000 0.000
4 Te 0.000 0.000 0.000
5 Cl 0.500 0.500 0.500

## Properties
D(E_F), states/eV/f.u.: 4.9
Formation energy from raw total energies, eV per atom: 1.556
Mass density, g/cm³: 5.5
Symmetry: Pm-3m (221)
Energy above the lowest structure with this stoichiometry, eV/atom: 0.9527
E, eV/atom: -5.48

Ce2NdAg | PBE | optimized geometry

a = 7.588 Å, b = 7.588 Å, c = 7.588 Å
α = 90.00°, β = 90.00°, γ = 90.00°
Fractional positions:
1 Ce 0.250 0.250 0.250
2 Ce 0.250 0.250 0.750
3 Ce 0.250 0.750 0.250
4 Ce 0.250 0.750 0.750
5 Ce 0.750 0.250 0.250
6 Ce 0.750 0.250 0.750
7 Ce 0.750 0.750 0.250
8 Ce 0.750 0.750 0.750
9 Nd 0.000 0.000 0.000
10 Nd 0.000 0.500 0.500
11 Nd 0.500 0.000 0.500
12 Nd 0.500 0.500 0.000
13 Ag 0.000 0.000 0.500
14 Ag 0.000 0.500 0.000
15 Ag 0.500 0.000 0.000
16 Ag 0.500 0.500 0.500

## Properties
D(E_F), states/eV/f.u.: 13.0
Mass density, g/cm³: 8.1
Symmetry: Fm-3m (225)
Energy above the lowest structure with this stoichiometry, eV/atom: 0.1166
E, eV/atom: -4.70
Calculated formation energy, eV per atom: 0.175